No. 1
A relaxed structure of KCo3Pb5, computed with PBE-GGA.

Values from the calculation:
total magnetic moment	0.036	μB per formula unit
crystal system	hexagonal
calculated total energy	-4.3942	eV/atom

Unit cell a=5.4484 b=5.4484 c=8.8381 alpha=90.00 beta=90.00 gamma=120.00
Space group P6/mmm (No. 191)
Unique sites:
K (0.0000, 0.0000, 0.0000) x1
Co (0.0000, 0.5000, 0.5000) x3
Pb (0.0000, 0.0000, 0.5000) x1
Pb (0.3333, 0.6667, 0.2477) x4

No. 2
A relaxed structure of KCoPd, computed with PBE-GGA.

Values from the calculation:
total magnetic moment	2.109	μB per formula unit
crystal system	cubic
calculated total energy	-3.4401	eV/atom
relative energy among the computed polymorphs	0.0	kJ/mol of atoms

Unit cell a=6.473 b=6.473 c=6.473 alpha=90.00 beta=90.00 gamma=90.00
Space group F-43m (No. 216)
Unique sites:
K (0.000, 0.000, 0.000) x4
Co (0.250, 0.250, 0.250) x4
Pd (0.000, 0.000, 0.500) x4

No. 3
A relaxed structure of KCoPd, computed with PBE-GGA.

Values from the calculation:
total magnetic moment	1.845	μB per formula unit
crystal system	cubic
calculated total energy	-2.8389	eV/atom
relative energy among the computed polymorphs	58.0	kJ/mol of atoms

Unit cell a=6.660 b=6.660 c=6.660 alpha=90.00 beta=90.00 gamma=90.00
Space group F-43m (No. 216)
Unique sites:
K (0.000, 0.000, 0.000) x4
Co (0.250, 0.250, 0.750) x4
Pd (0.250, 0.250, 0.250) x4

No. 4
A relaxed structure of KCoPdSe3, computed with PBE-GGA.

Values from the calculation:
total magnetic moment	0.004	μB per formula unit
crystal system	monoclinic
calculated total energy	-4.4126	eV/atom

Unit cell a=8.137 b=3.710 c=9.619 alpha=90.00 beta=108.05 gamma=90.00
Space group P2_1/m (No. 11)
Unique sites:
K (0.223, 0.250, 0.269) x2
Co (0.336, 0.750, 0.860) x2
Pd (0.096, 0.250, 0.589) x2
Se (0.147, 0.250, 0.867) x2
Se (0.294, 0.750, 0.602) x2
Se (0.466, 0.750, 0.121) x2

No. 5
A relaxed structure of KCoTe3Pd, computed with PBE-GGA.

Values from the calculation:
total magnetic moment	0.010	μB per formula unit
crystal system	monoclinic
calculated total energy	-4.1693	eV/atom

Unit cell a=8.441 b=3.984 c=10.185 alpha=90.00 beta=109.98 gamma=90.00
Space group P2_1/m (No. 11)
Unique sites:
K (0.232, 0.250, 0.285) x2
Co (0.327, 0.750, 0.853) x2
Te (0.139, 0.250, 0.877) x2
Te (0.272, 0.750, 0.590) x2
Te (0.465, 0.750, 0.123) x2
Pd (0.070, 0.250, 0.598) x2

No. 6
A relaxed structure of KPmCo, computed with PBE-GGA.

Values from the calculation:
total magnetic moment	0.502	μB per formula unit
crystal system	cubic
calculated total energy	-3.1263	eV/atom

Unit cell a=6.930 b=6.930 c=6.930 alpha=90.00 beta=90.00 gamma=90.00
Space group F-43m (No. 216)
Unique sites:
K (0.000, 0.000, 0.000) x4
Pm (0.250, 0.250, 0.750) x4
Co (0.000, 0.000, 0.500) x4